Record 1
Here is crystalline Ac4Bi2H at its relaxed geometry from Alexandria via LeMat-Bulk. Energies are from GGA-PBE.

Structure (extended XYZ):
```
7
Lattice="-2.501 2.501 9.476 2.501 -2.501 9.476 2.501 2.501 -9.476" Properties=species:S:1:pos:R:3 pbc="T T T"
Ac 2.501 0.000 0.000
Ac 0.000 0.000 3.365
Ac 0.000 2.501 0.000
Ac 0.000 0.000 15.587
Bi 0.000 0.000 6.862
Bi 0.000 0.000 12.089
H 0.000 0.000 0.000
```

Properties
The value obtained for the total DFT energy (no corrections) is -4.53 eV/atom.

---

Record 2
Here is crystalline Ac14Tl6Ru3 at its relaxed geometry from Alexandria via LeMat-Bulk. Energies are from GGA-PBE.

Structure (extended XYZ):
```
23
Lattice="11.514 0.000 0.000 -5.757 9.971 0.000 0.000 0.000 7.651" Properties=species:S:1:pos:R:3 pbc="T T T"
Ac 0.000 0.000 0.000
Ac -2.120 5.424 2.243
Ac 0.000 4.083 5.635
Ac -2.221 7.930 5.635
Ac 2.101 1.213 3.575
Ac 3.658 2.112 7.559
Ac 2.120 5.424 2.243
Ac 0.000 9.096 2.243
Ac 2.221 7.930 5.635
Ac 5.757 3.324 3.990
Ac 7.856 2.112 7.559
Ac 5.757 5.748 7.559
Ac 9.413 1.213 3.575
Ac 5.757 7.545 3.575
Tl 0.000 2.996 1.398
Tl -3.162 8.473 1.398
Tl 5.757 0.402 5.489
Tl 3.227 4.785 5.489
Tl 3.162 8.473 1.398
Tl 8.287 4.785 5.489
Ru 0.000 0.000 4.959
Ru 0.000 6.648 4.029
Ru 5.757 3.324 1.309
```

Properties
The formation energy comes out at -17.3 kJ/mol of atoms.

---

Record 3
Here is crystalline Sc5ZnIr at its relaxed geometry from Alexandria via LeMat-Bulk. Energies are from GGA-PBE.

Structure (extended XYZ):
```
14
Lattice="4.103 -3.368 0.000 4.103 3.368 0.000 -2.555 0.000 10.917" Properties=species:S:1:pos:R:3 pbc="T T T"
Sc 2.186 3.341 8.188
Sc 1.805 1.178 1.379
Sc 1.902 1.071 4.641
Sc 0.528 -1.178 6.837
Sc 5.026 1.071 0.817
Sc 0.624 -1.071 10.100
Sc 5.123 1.178 4.080
Sc 3.749 -1.071 6.276
Sc 3.845 -1.178 9.538
Sc 3.464 -3.341 2.729
Zn 2.186 0.595 8.188
Zn 3.464 -0.595 2.729
Ir 0.000 0.000 0.000
Ir -1.278 0.000 5.458
```

Properties
The formation energy comes out at -27.5 kJ/mol of atoms.

---

Record 4
Here is crystalline ZrInO2 at its relaxed geometry from Alexandria via LeMat-Bulk. Energies are from GGA-PBE.

Structure (extended XYZ):
```
8
Lattice="-2.995 2.995 4.993 2.995 -2.995 4.993 2.995 2.995 -4.993" Properties=species:S:1:pos:R:3 pbc="T T T"
Zr 0.000 0.000 0.000
Zr 0.000 2.995 2.496
In 2.995 0.000 2.496
In 0.000 0.000 4.993
O 0.412 1.497 1.248
O -1.497 2.583 3.745
O -0.412 4.492 1.248
O 1.497 3.406 3.745
```

Properties
The value obtained for the total DFT energy (no corrections) is -7.32 eV/atom.

---

Record 5
Here is crystalline TlCo2Cl at its relaxed geometry from Alexandria via LeMat-Bulk. Energies are from GGA-PBE.

Structure (extended XYZ):
```
4
Lattice="2.940 -4.502 0.000 2.940 4.502 0.000 -1.725 0.000 2.709" Properties=species:S:1:pos:R:3 pbc="T T T"
Tl 0.000 0.000 0.000
Co 1.470 2.251 0.000
Co 1.470 -2.251 0.000
Cl 2.940 0.000 0.000
```

Properties
The distance to the lowest polymorph of the same formula is 426 meV/atom.

---

Record 6
Here is crystalline NdEuDyHg at its relaxed geometry from Alexandria via LeMat-Bulk. Energies are from GGA-PBE.

Structure (extended XYZ):
```
4
Lattice="0.000 3.906 3.906 3.906 0.000 3.906 3.906 3.906 0.000" Properties=species:S:1:pos:R:3 pbc="T T T"
Nd 0.000 0.000 0.000
Eu 5.859 5.859 5.859
Dy 3.906 3.906 3.906
Hg 1.953 1.953 1.953
```

Properties
The formation energy comes out at -5.4 kJ/mol of atoms.

---

Q: Which M_tot values were calculated for the entries above? A: 0.00; 0.00; 0.01; 0.00; 3.67; 7.34, in μB/cell.